[1]
The following is a GGA-PBE calculation of TiMnRh6 after structural relaxation, from Alexandria via LeMat-Bulk.

Summary:
calculated volume = 112.9 Å³/cell
DOS at the Fermi energy = 1.22 states/eV per atom
electronic total energy = -8.01 eV per atom
magnetic moment = 0.34 μB per atom
formation energy = -0.36 eV/atom

Geometry as extended XYZ:
```
8
Lattice="3.8384 0.0000 0.0000 0.0000 5.4244 -0.0345 0.0000 0.0345 5.4244" Properties=species:S:1:pos:R:3 pbc="T T T"
Rh 1.9192 0.0172 2.7122
Rh 0.0000 4.0847 4.0331
Ti 1.9192 0.0000 0.0000
Rh 1.9192 2.7122 -0.0173
Mn 1.9192 2.7294 2.6949
Rh 0.0000 1.3898 4.0517
Rh 0.0000 1.3741 1.3567
Rh 0.0000 4.0691 1.3381
```

[2]
The following is a GGA-PBE calculation of Sr2In5Ga3 after structural relaxation, from Alexandria via LeMat-Bulk.

Summary:
calculated volume = 269.3 Å³/cell
DOS at the Fermi energy = 0.42 states/eV per atom
electronic total energy = -2.92 eV per atom
magnetic moment = 0.00 μB per atom
formation energy = -0.30 eV/atom

Geometry as extended XYZ:
```
10
Lattice="-0.8068 -3.1003 -3.5456 -1.9621 -3.0490 3.1126 -10.5659 4.8894 -1.8711" Properties=species:S:1:pos:R:3 pbc="T T T"
Ga -5.0006 0.3356 0.8445
In -1.3845 -3.0747 -0.2165
Sr -8.7138 2.0538 0.1869
Ga -5.2830 2.4447 -0.9355
Sr -3.2366 -0.2391 -2.2745
In 0.0000 0.0000 0.0000
In -2.5913 -0.7793 1.2711
Ga -6.9497 1.4791 -2.9321
In -9.3590 2.5940 -3.3587
In -6.6674 -0.6300 -1.1521
```